Crystalline Sr3CaRe at its relaxed geometry. Source: Alexandria via LeMat-Bulk, functional PBEsol.

Lattice parameters (Å, degrees): 6.1517 6.1517 6.1517 90.00 90.00 90.00
Element x y z (fractional)
Re1 0.5000 0.5000 0.5000
Ca1 0.0000 0.0000 0.0000
Sr1 0.0000 0.5000 0.0000
Sr2 0.0000 0.0000 0.5000
Sr3 0.5000 0.0000 0.0000

Properties
- N(E_F): 4.27 states/eV per cell
- Calculated total energy: -2.21 eV per atom
- Energy of formation from the pure elements: 1.984 eV per atom